The following is a DFT calculation (PBE) of Hf2ZrU3N6 after structural relaxation.

Cell lengths 5.6873, 5.6873, 5.9188 Å; angles 99.21, 99.21, 120.01 degrees
With the nearest neighbours (Å) after each atom.
Atoms (fractional coordinates):
Hf 0.1668 0.8332 0.0000  6 N 2.27
Hf 0.8332 0.1668 0.0000  6 N 2.27
Zr 0.5000 0.5000 0.0000  6 N 2.31-2.32
U 0.0000 0.0000 0.5000  6 N 2.41-2.45
U 0.3343 0.6657 0.5000  6 N 2.41-2.45
U 0.6657 0.3343 0.5000  6 N 2.41-2.45
N 0.0842 0.4238 0.7719  2 Hf 2.27, 1 Zr 2.32, 3 U 2.41-2.45
N 0.2359 0.2359 0.2268  2 Hf 2.27, 1 Zr 2.31, 3 U 2.41-2.45
N 0.4238 0.0842 0.7719  2 Hf 2.27, 1 Zr 2.32, 3 U 2.41-2.45
N 0.5762 0.9158 0.2281  2 Hf 2.27, 1 Zr 2.32, 3 U 2.41-2.45
N 0.7641 0.7641 0.7732  2 Hf 2.27, 1 Zr 2.31, 3 U 2.41-2.45
N 0.9158 0.5762 0.2281  2 Hf 2.27, 1 Zr 2.32, 3 U 2.41-2.45

Properties
Its total magnetization is 4.70 Bohr magnetons per cell. The formation energy without anion corrections comes out at -1565 meV/atom. Its space-group type is C2/m (12).